A relaxed structure of Tl2Cd3In4, computed with PBE-GGA.

abc: 5.7779 10.8010 15.6205
angles: 90.00 90.00 90.00
With the nearest neighbours (Å) after each atom.
Space group Fmmm (No. 69)
Asymmetric unit:
Tl: 0.0000 0.0000 0.1206 (multiplicity 8)  6 Cd 3.45-3.60, 8 In 3.45-3.85, 1 Tl 3.77
Cd: 0.0000 0.0000 0.5000 (multiplicity 4)  4 Cd 3.06, 4 In 3.24
Cd: 0.2500 0.2500 0.0000 (multiplicity 8)  4 Cd 2.89-3.06
In: 0.0000 0.1533 0.3214 (multiplicity 16)  2 In 3.05-3.31, 3 Cd 3.24-3.31

- VASP energy: -2.02 eV per atom
- Total magnetic moment: 0.00 μB/f.u.
- ρ: 8.2 g cm⁻³
- DOS at the Fermi energy: 13.0 states/eV per cell
- Formation energy from the elements: 0.032 eV/atom


A relaxed structure of MgZnPt3, computed with PBE-GGA.

abc: 4.6214 4.6214 4.6214
angles: 90.00 90.00 90.00
With the nearest neighbours (Å) after each atom.
Space group Pm-3m (No. 221)
Asymmetric unit:
Mg: 0.0000 0.0000 0.0000 (multiplicity 1)  12 Pt 3.27
Zn: 0.5000 0.5000 0.5000 (multiplicity 1)  6 Pt 2.31
Pt: 0.0000 0.5000 0.5000 (multiplicity 3)  2 Zn 2.31

- VASP energy: -3.92 eV per atom
- Total magnetic moment: 0.00 μB/f.u.
- ρ: 11.4 g cm⁻³
- DOS at the Fermi energy: 1.0 states/eV per cell
- Polymorph energy (0 for the lowest one): 0.000 eV per atom
- Formation energy from the elements: 0.276 eV/atom


A relaxed structure of AlTe2Se, computed with PBE-GGA.

abc: 3.6330 5.5179 13.0038
angles: 90.00 90.00 90.00
With the nearest neighbours (Å) after each atom.
Space group Imm2 (No. 44)
Asymmetric unit:
Al: 0.0000 0.0000 0.0000 (multiplicity 2)  2 Se 2.39
Te: 0.0000 0.0000 0.4127 (multiplicity 2)  2 Te 2.97
Te: 0.0000 0.5000 0.3290 (multiplicity 2)  2 Al 2.87, 2 Te 2.97
Se: 0.0000 0.5000 0.6194 (multiplicity 2)  2 Al 2.39

- VASP energy: -3.47 eV per atom
- Total magnetic moment: 0.00 μB/f.u.
- ρ: 4.6 g cm⁻³
- DOS at the Fermi energy: 3.6 states/eV per cell
- Energy relative to the elements, uncorrected: -0.09 eV per atom


A relaxed structure of CeLuPbI, computed with PBE-GGA.

abc: 7.7344 7.7344 7.7344
angles: 90.00 90.00 90.00
With the nearest neighbours (Å) after each atom.
Space group F-43m (No. 216)
Asymmetric unit:
Ce: 0.0000 0.0000 0.0000 (multiplicity 4)  4 Pb 3.35, 4 I 3.35
Lu: 0.0000 0.0000 0.5000 (multiplicity 4)  4 Pb 3.35, 4 I 3.35
Pb: 0.2500 0.2500 0.2500 (multiplicity 4)  4 Ce 3.35, 4 Lu 3.35
I: 0.2500 0.2500 0.7500 (multiplicity 4)  4 Ce 3.35, 4 Lu 3.35

- VASP energy: -4.40 eV per atom
- Total magnetic moment: 1.80 μB/f.u.
- ρ: 9.3 g cm⁻³
- DOS at the Fermi energy: 29.1 states/eV per cell
- Energy relative to the elements, uncorrected: -0.47 eV per atom


A relaxed structure of Dy12Ga6Bi, computed with PBE-GGA.

abc: 10.1098 10.1098 10.1098
angles: 90.00 90.00 90.00
With the nearest neighbours (Å) after each atom.
Space group Im-3 (No. 204)
Asymmetric unit:
Dy: 0.0000 0.1893 0.2978 (multiplicity 24)  3 Ga 2.80-3.06
Ga: 0.0000 0.3782 0.5000 (multiplicity 12)  1 Ga 2.46
Bi: 0.0000 0.0000 0.0000 (multiplicity 2)  12 Dy 3.57

- VASP energy: -4.47 eV per atom
- Total magnetic moment: 0.00 μB/f.u.
- ρ: 8.3 g cm⁻³
- DOS at the Fermi energy: 36.2 states/eV per cell
- Formation energy from the elements: -0.403 eV/atom


A relaxed structure of Li6Ce2Ir3, computed with PBE-GGA.

abc: 7.5875 7.5875 3.8148
angles: 90.00 90.00 120.00
With the nearest neighbours (Å) after each atom.
Space group P-62m (No. 189)
Asymmetric unit:
Li: 0.0000 0.2428 0.0000 (multiplicity 3)  1 Ir 2.51, 4 Li 2.58
Li: 0.0000 0.7898 0.5000 (multiplicity 3)  2 Ir 2.52, 6 Li 2.58-2.76
Ce: 0.3333 0.6667 0.5000 (multiplicity 2)  6 Ir 2.96, 3 Li 3.10
Ir: 0.0000 0.5732 0.0000 (multiplicity 3)  3 Li 2.51-2.52

- VASP energy: -4.77 eV per atom
- Total magnetic moment: 0.00 μB/f.u.
- ρ: 7.8 g cm⁻³
- DOS at the Fermi energy: 7.6 states/eV per cell
- Formation energy from the elements: -0.230 eV/atom


A relaxed structure of TmPaAsP, computed with PBE-GGA.

abc: 3.9017 3.9017 20.9404
angles: 90.00 90.00 120.00
With the nearest neighbours (Å) after each atom.
Space group R3m (No. 160, hexagonal axes)
Asymmetric unit:
Tm: 0.0000 0.0000 0.0000 (multiplicity 3)  3 P 2.74, 3 As 2.92
Pa: 0.0000 0.0000 0.8209 (multiplicity 3)  3 P 2.81, 3 As 2.94
As: 0.0000 0.0000 0.5778 (multiplicity 3)  3 Tm 2.92, 3 Pa 2.94
P: 0.0000 0.0000 0.4077 (multiplicity 3)  3 Tm 2.74, 3 Pa 2.81

- VASP energy: -7.24 eV per atom
- Total magnetic moment: 0.00 μB/f.u.
- ρ: 9.1 g cm⁻³
- DOS at the Fermi energy: 7.0 states/eV per cell
- Formation energy from the elements: -1.232 eV/atom


A relaxed structure of MnBe17Tc, computed with PBE-GGA.

abc: 7.2131 7.2131 10.5504
angles: 90.00 90.00 120.00
With the nearest neighbours (Å) after each atom.
Space group R3m (No. 160, hexagonal axes)
Asymmetric unit:
Mn: 0.0000 0.0000 0.0000 (multiplicity 3)  19 Be 2.51-2.80
Be: 0.0000 0.0000 0.5578 (multiplicity 3)  7 Be 2.15-2.28
Be: 0.0000 0.0000 0.7614 (multiplicity 3)  7 Be 2.15-2.28
Be: 0.0010 0.3047 0.6592 (multiplicity 18)  8 Be 2.07-2.20
Be: 0.0019 0.5010 0.1579 (multiplicity 9)  10 Be 2.07-2.20
Be: 0.0065 0.5032 0.8135 (multiplicity 9)  9 Be 2.06-2.28
Be: 0.1704 0.3407 0.8386 (multiplicity 9)  9 Be 2.06-2.28
Tc: 0.0000 0.0000 0.3201 (multiplicity 3)  19 Be 2.51-2.75

- VASP energy: -4.49 eV per atom
- Total magnetic moment: 2.55 μB/f.u.
- ρ: 3.2 g cm⁻³
- DOS at the Fermi energy: 13.6 states/eV per cell
- Formation energy from the elements: -0.133 eV/atom


A relaxed structure of Sb2AsRu, computed with PBE-GGA.

abc: 6.2702 7.6818 3.3365
angles: 90.00 90.00 90.00
With the nearest neighbours (Å) after each atom.
Space group Cmmm (No. 65)
Asymmetric unit:
Sb: 0.2500 0.2500 0.0000 (multiplicity 4)  4 As 2.99, 4 Ru 2.99, 4 Sb 3.14-3.34
As: 0.0000 0.0000 0.5000 (multiplicity 2)  8 Sb 2.99, 2 Ru 3.14, 2 As 3.34
Ru: 0.0000 0.5000 0.5000 (multiplicity 2)  8 Sb 2.99, 2 As 3.14, 2 Ru 3.34

- VASP energy: -5.14 eV per atom
- Total magnetic moment: 0.00 μB/f.u.
- ρ: 8.7 g cm⁻³
- DOS at the Fermi energy: 6.0 states/eV per cell
- Energy relative to the elements, uncorrected: 0.40 eV per atom


A relaxed structure of ZrSbIrSe2, computed with PBE-GGA.

abc: 5.0129 5.0129 5.8258
angles: 90.00 90.00 90.00
With the nearest neighbours (Å) after each atom.
Space group P4/mmm (No. 123)
Asymmetric unit:
Zr: 0.0000 0.0000 0.0000 (multiplicity 1)  4 Se 2.51
Sb: 0.0000 0.0000 0.5000 (multiplicity 1)  2 Zr 2.91
Ir: 0.5000 0.5000 0.5000 (multiplicity 1)  4 Sb 3.54, 8 Se 3.84
Se: 0.0000 0.5000 0.0000 (multiplicity 2)  2 Zr 2.51

- VASP energy: -4.94 eV per atom
- Total magnetic moment: 2.03 μB/f.u.
- ρ: 6.4 g cm⁻³
- DOS at the Fermi energy: 4.4 states/eV per cell
- Energy relative to the elements, uncorrected: 0.76 eV per atom


A relaxed structure of Pm5BiSb4, computed with PBE-GGA.

abc: 4.5095 4.5095 31.8681
angles: 90.00 90.00 90.00
With the nearest neighbours (Å) after each atom.
Space group I4/mmm (No. 139)
Asymmetric unit:
Pm: 0.0000 0.0000 0.0000 (multiplicity 2)  4 Bi 3.19, 2 Sb 3.19
Pm: 0.0000 0.0000 0.2000 (multiplicity 4)  6 Sb 3.17-3.19
Pm: 0.0000 0.0000 0.3985 (multiplicity 4)  5 Sb 3.16-3.19, 1 Bi 3.23
Bi: 0.0000 0.0000 0.5000 (multiplicity 2)  6 Pm 3.19-3.23
Sb: 0.0000 0.0000 0.1001 (multiplicity 4)  6 Pm 3.18-3.19
Sb: 0.0000 0.0000 0.2995 (multiplicity 4)  6 Pm 3.16-3.19

- VASP energy: -5.55 eV per atom
- Total magnetic moment: 0.00 μB/f.u.
- ρ: 7.3 g cm⁻³
- DOS at the Fermi energy: 2.5 states/eV per cell
- Energy relative to the elements, uncorrected: -1.14 eV per atom


A relaxed structure of Rb2ZrSbS4, computed with PBE-GGA.

abc: 7.9318 7.9318 8.3801
angles: 90.00 90.00 90.00
With the nearest neighbours (Å) after each atom.
Space group I-4 (No. 82)
Asymmetric unit:
Rb: 0.0000 0.0000 0.0000 (multiplicity 2)  4 S 3.46
Rb: 0.0000 0.5000 0.2500 (multiplicity 2)  4 S 3.29
Zr: 0.0000 0.0000 0.5000 (multiplicity 2)  4 S 2.43
Sb: 0.0000 0.5000 0.7500 (multiplicity 2)  4 S 2.73
S: 0.1503 0.7965 0.6641 (multiplicity 8)  1 Zr 2.43

- VASP energy: -4.89 eV per atom
- Total magnetic moment: 1.01 μB/f.u.
- ρ: 3.2 g cm⁻³
- DOS at the Fermi energy: 1.9 states/eV per cell
- Energy relative to the elements, uncorrected: -1.00 eV per atom